(1)
The following is a PBE calculation of Li3ErIn4 after structural relaxation, from the Alexandria database.

Properties
Formation energy ... -321 meV/atom
Total DFT energy (no corrections) ... -2.978 eV/atom
Total magnetic moment ... 0.0 μB per formula unit

Cell: 4.909 4.909 8.748 Å, 73.71 73.71 60.00°
Atoms (fractional coordinates):
Li: 0.500 0.500 0.500
Li: 0.750 0.750 0.750
Li: 0.250 0.250 0.250
Er: 0.000 0.000 0.000
In: 0.129 0.129 0.614
In: 0.384 0.384 0.849
In: 0.616 0.616 0.151
In: 0.871 0.871 0.386

(2)
The following is a PBE calculation of Pm5Pa2Sn12 after structural relaxation, from the Alexandria database.

Properties
Formation energy ... -264 meV/atom
Total DFT energy (no corrections) ... -5.042 eV/atom
Total magnetic moment ... 0.0 μB per formula unit

Cell: 7.041 9.143 10.301 Å, 101.38 90.00 112.65°
Atoms (fractional coordinates):
Sn: 0.123 0.672 0.487
Sn: 0.382 0.362 0.055
Sn: 0.618 0.638 0.945
Sn: 0.934 0.869 0.182
Sn: 0.448 0.896 0.706
Sn: 0.980 0.362 0.055
Sn: 0.552 0.104 0.294
Sn: 0.020 0.638 0.945
Sn: 0.066 0.131 0.818
Sn: 0.451 0.328 0.513
Sn: 0.549 0.672 0.487
Sn: 0.877 0.328 0.513
Pa: 0.684 0.000 0.000
Pa: 0.316 0.000 0.000
Pm: 0.748 0.496 0.266
Pm: 0.252 0.504 0.734
Pm: 0.357 0.714 0.205
Pm: 0.643 0.286 0.795
Pm: 0.000 0.000 0.500

> Which of these has the highest total DFT energy (no corrections)?

Li3ErIn4

Please write out number 2 again, unchanged.
The following is a PBE calculation of Pm5Pa2Sn12 after structural relaxation, from the Alexandria database.

Properties
Formation energy ... -264 meV/atom
Total DFT energy (no corrections) ... -5.042 eV/atom
Total magnetic moment ... 0.0 μB per formula unit

Cell: 7.041 9.143 10.301 Å, 101.38 90.00 112.65°
Atoms (fractional coordinates):
Sn: 0.123 0.672 0.487
Sn: 0.382 0.362 0.055
Sn: 0.618 0.638 0.945
Sn: 0.934 0.869 0.182
Sn: 0.448 0.896 0.706
Sn: 0.980 0.362 0.055
Sn: 0.552 0.104 0.294
Sn: 0.020 0.638 0.945
Sn: 0.066 0.131 0.818
Sn: 0.451 0.328 0.513
Sn: 0.549 0.672 0.487
Sn: 0.877 0.328 0.513
Pa: 0.684 0.000 0.000
Pa: 0.316 0.000 0.000
Pm: 0.748 0.496 0.266
Pm: 0.252 0.504 0.734
Pm: 0.357 0.714 0.205
Pm: 0.643 0.286 0.795
Pm: 0.000 0.000 0.500

> What is the formula in the first record?

Li3ErIn4

Repeat the second record exactly.
The following is a PBE calculation of Pm5Pa2Sn12 after structural relaxation, from the Alexandria database.

Properties
Formation energy ... -264 meV/atom
Total DFT energy (no corrections) ... -5.042 eV/atom
Total magnetic moment ... 0.0 μB per formula unit

Cell: 7.041 9.143 10.301 Å, 101.38 90.00 112.65°
Atoms (fractional coordinates):
Sn: 0.123 0.672 0.487
Sn: 0.382 0.362 0.055
Sn: 0.618 0.638 0.945
Sn: 0.934 0.869 0.182
Sn: 0.448 0.896 0.706
Sn: 0.980 0.362 0.055
Sn: 0.552 0.104 0.294
Sn: 0.020 0.638 0.945
Sn: 0.066 0.131 0.818
Sn: 0.451 0.328 0.513
Sn: 0.549 0.672 0.487
Sn: 0.877 0.328 0.513
Pa: 0.684 0.000 0.000
Pa: 0.316 0.000 0.000
Pm: 0.748 0.496 0.266
Pm: 0.252 0.504 0.734
Pm: 0.357 0.714 0.205
Pm: 0.643 0.286 0.795
Pm: 0.000 0.000 0.500